First-principles (PBE-GGA) data for a relaxed structure of ZnPCl6, as listed in Alexandria.

## Properties
E_form (uncorrected): -0.526 eV/atom
Energy: -2.75 eV per atom

a = 6.1740 Å, b = 6.1740 Å, c = 16.4152 Å
α = 90.00°, β = 90.00°, γ = 120.00°
With the nearest neighbours (Å) after each atom.
Space group R-3 (No. 148, hexagonal axes)
Asymmetric unit:
Zn 0.0000 0.0000 0.0000 x3  6 Cl 2.50
P 0.0000 0.0000 0.5000 x3  6 Cl 2.30
Cl 0.0194 0.3146 0.5807 x18  1 P 2.30, 1 Zn 2.50